TbYHo3 | PBE | relaxed

POSCAR file:
```
TbYHo3
1.0
1.8021 -8.3151 0.0000
1.8021 8.3151 0.0000
0.0000 0.0000 11.4910
Tb Y Ho
2 2 6
direct
0.1818 0.8182 0.7500
0.8182 0.1818 0.2500
0.4913 0.5087 0.2500
0.5087 0.4913 0.7500
0.1596 0.8404 0.2500
0.3460 0.6540 0.9997
0.3460 0.6540 0.5003
0.6540 0.3460 0.0003
0.6540 0.3460 0.4997
0.8404 0.1596 0.7500
```

Results
- Space group: Cmcm
- Total magnetic moment: 0.0 Bohr magnetons per cell
- ΔE to the lowest computed polymorph: 1.58 eV/f.u.
- VASP energy: -4.643 eV/atom

***

LiSc2SbC | PBE | relaxed

POSCAR file:
```
LiSc2SbC
1.0
4.5065 0.0000 0.0000
0.0000 4.5065 0.0000
0.0000 0.0000 4.2975
Li Sc Sb C
1 2 1 1
direct
0.0000 0.0000 0.0000
0.0000 0.5000 0.5000
0.5000 0.0000 0.5000
0.5000 0.5000 0.0000
0.0000 0.0000 0.5000
```

Results
- Space group: P4/mmm
- Total magnetic moment: 0.0 Bohr magnetons per cell
- VASP energy: -6.210 eV/atom

***

Li2HfAsH | PBE | relaxed

POSCAR file:
```
Li2HfAsH
1.0
3.9104 0.0000 0.0000
0.0000 3.9104 0.0000
0.0000 0.0000 4.2381
Li Hf As H
2 1 1 1
direct
0.0000 0.5000 0.0000
0.5000 0.0000 0.0000
0.0000 0.0000 0.5000
0.5000 0.5000 0.5000
0.0000 0.0000 0.0000
```

Results
- Space group: P4/mmm
- Total magnetic moment: 0.0 Bohr magnetons per cell
- VASP energy: -4.825 eV/atom

***

Ac3Cu9Ir2 | PBE | relaxed

POSCAR file:
```
Ac3Cu9Ir2
1.0
-2.1451 4.6945 6.4244
2.1451 -4.6945 6.4244
2.1451 4.6945 -6.4244
Ac Cu Ir
3 9 2
direct
0.0000 0.0000 0.0000
0.3084 0.3084 0.0000
0.6916 0.6916 0.0000
0.0225 0.6677 0.3548
0.1585 0.8817 0.2768
0.3129 0.6677 0.6452
0.3951 0.1183 0.2768
0.5000 0.0000 0.5000
0.6049 0.8817 0.7232
0.6871 0.3323 0.3548
0.8415 0.1183 0.7232
0.9775 0.3323 0.6452
0.2998 0.5000 0.7998
0.7002 0.5000 0.2002
```

Results
- Space group: Immm
- Total magnetic moment: 0.0 Bohr magnetons per cell
- VASP energy: -4.921 eV/atom